DFT (GGA-PBE) results for crystalline SmZrNi2P2 at its relaxed geometry.

Cell lengths 3.844, 3.844, 7.678 Å; angles 90.00, 90.00, 120.00 degrees
Fractional positions:
Sm  0.000  0.000  0.000
Zr  0.000  0.000  0.500
Ni  0.333  0.667  0.726
Ni  0.667  0.333  0.274
P  0.333  0.667  0.265
P  0.667  0.333  0.735

Properties
spin magnetization	0.00	μB/cell
raw total energy	-7.09	eV/atom
density	7.11	g/cm³
calculated formation energy	-1.151	eV/atom
volume	98	Å³/f.u.

---

DFT (GGA-PBE) results for crystalline BaOs2Rh at its relaxed geometry.

Cell lengths 2.849, 3.814, 7.466 Å; angles 90.00, 90.00, 90.00 degrees
Fractional positions:
Ba  0.000  0.000  0.000
Os  0.500  0.500  0.332
Os  0.500  0.500  0.668
Rh  0.000  0.000  0.500

Properties
spin magnetization	0.00	μB/cell
raw total energy	-7.10	eV/atom
density	12.70	g/cm³
calculated formation energy	0.834	eV/atom
offset from the most stable computed form	520	meV per atom
volume	81	Å³/f.u.

---

DFT (GGA-PBE) results for crystalline NaGaPb at its relaxed geometry.

Cell lengths 3.613, 6.610, 7.202 Å; angles 106.20, 90.05, 105.71 degrees
Fractional positions:
Na  0.000  0.000  0.000
Na  0.022  0.047  0.536
Ga  0.342  0.687  0.643
Ga  0.352  0.706  0.224
Pb  0.687  0.375  0.343
Pb  0.719  0.440  0.878

Properties
spin magnetization	0.00	μB/cell
raw total energy	-2.74	eV/atom
density	6.29	g/cm³
calculated formation energy	-0.057	eV/atom
volume	79	Å³/f.u.

---

DFT (GGA-PBE) results for crystalline CsGaW3 at its relaxed geometry.

Cell lengths 4.862, 4.862, 4.862 Å; angles 90.00, 90.00, 90.00 degrees
Fractional positions:
Cs  0.000  0.000  0.000
Ga  0.500  0.500  0.500
W  0.000  0.500  0.500
W  0.500  0.000  0.500
W  0.500  0.500  0.000

Properties
spin magnetization	0.68	μB/cell
raw total energy	-5.96	eV/atom
density	10.90	g/cm³
calculated formation energy	2.583	eV/atom
offset from the most stable computed form	0	meV per atom
volume	115	Å³/f.u.

---

> Among the records above, which one has the lowest density?

NaGaPb